The following is a GGA-PBE calculation of Na2B5Os3 after structural relaxation, from OQMD.

The total energy comes out at -7.008 eV per atom. The calculation puts the magnetic moment at 0.0 μB/f.u.

abc: 10.4604 4.0859 7.7096
angles: 90.00 122.44 90.00
Space group C2 (No. 5)
Asymmetric unit:
Na  0.1602  0.0000  0.2733 [4 per cell]
B  0.0000  0.4977  0.0000 [2 per cell]
B  0.0307  0.7255  0.6229 [4 per cell]
B  0.1418  0.0008  0.8111 [4 per cell]
Os  0.0000  0.2181  0.5000 [2 per cell]
Os  0.1395  0.4816  0.9035 [4 per cell]